Computed, not measured: Tm3GePbS after structural relaxation at the PBE level of DFT. Values from VASP.

Its space-group type is P2_1/m (11). The uncorrected formation energy comes out at -0.905 eV/atom. The total moment comes out at 0.000 μB/cell.

The structure in Quantum ESPRESSO input format:
```
&SYSTEM
  ibrav = 0, nat = 12, ntyp = 4
/
ATOMIC_SPECIES
Ge 72.64 Ge.upf
Tm 168.93 Tm.upf
S 32.06 S.upf
Pb 207.20 Pb.upf
CELL_PARAMETERS angstrom
-4.1277 -0.6138 2.5679
3.0582 -4.6471 3.8051
1.4135 8.3021 4.2565
ATOMIC_POSITIONS angstrom
Ge -0.9117 5.2854 6.8101
Ge 1.2556 -2.2442 3.8193
Tm 1.7733 4.1904 6.1896
Tm -0.1266 -3.7637 5.9091
Tm 0.4705 6.8049 4.7203
Tm -1.4294 -1.1492 4.4398
Tm 1.9746 0.1706 5.5522
Tm -1.6307 2.8706 5.0772
S 0.3395 4.1881 3.8843
S 0.0044 -1.1469 6.7451
Pb 0.0638 0.9617 2.6699
Pb 0.2801 2.0795 7.9595
```